A plane-wave DFT calculation with GGA+U was carried out for a relaxed CoH4Cl2O2 crystal.

a = 3.516 Å, b = 5.536 Å, c = 5.536 Å
α = 98.75°, β = 95.15°, γ = 95.15°
Fractional positions:
H: 0.848 0.597 0.217
H: 0.152 0.783 0.403
H: 0.152 0.403 0.783
H: 0.848 0.217 0.597
Co: 0.000 0.000 0.000
O: 0.000 0.241 0.759
O: 0.000 0.759 0.241
Cl: 0.432 0.757 0.757
Cl: 0.568 0.243 0.243

Calculated values
Calculated volume in Å³/f.u.: 105
Final energy in eV/f.u.: -40.93